Entry 1:
Pm8NiPd3I4: relaxed, PBE.

abc: 8.439 9.406 8.440
angles: 116.69 120.00 90.00
Fractional positions:
Pm 0.223 0.685 0.963
Pm 0.223 0.685 0.446
Pm 0.270 0.311 0.540
Pm 0.740 0.685 0.963
Pm 0.260 0.315 0.037
Pm 0.730 0.689 0.460
Pm 0.777 0.315 0.554
Pm 0.777 0.315 0.037
Ni 0.000 0.500 0.000
Pd 0.500 0.500 0.000
Pd 0.500 0.500 0.500
Pd 0.000 0.500 0.500
I 0.500 0.000 0.000
I 0.500 0.000 0.500
I 0.000 0.000 0.000
I 0.000 0.000 0.500

Calculated values
Its space group is No. 166. The calculation puts the uncorrected formation energy at -0.820 eV/atom.

Entry 2:
MgCo2Au: relaxed, PBE.

abc: 2.747 2.747 7.749
angles: 90.00 90.00 90.00
Fractional positions:
Au 0.500 0.500 0.750
Co 0.000 0.000 0.997
Co 0.000 0.000 0.503
Mg 0.500 0.500 0.250

Calculated values
Its space group is No. 123. For the formation energy, the calculation gives 0.260 eV per atom.

Entry 3:
TiSnOs3: relaxed, PBE.

abc: 4.580 4.580 4.580
angles: 90.00 90.00 90.00
Fractional positions:
Os 0.000 0.500 0.000
Os 0.000 0.000 0.500
Os 0.500 0.000 0.000
Sn 0.500 0.500 0.500
Ti 0.000 0.000 0.000

Calculated values
Its space group is No. 221. For the formation energy, the calculation gives 1.613 eV per atom.

Number 1: total DFT energy (no corrections) -78.69 eV for the cell shown, DOS(E_F) 11.86 states/eV/cell. Number 2: total DFT energy (no corrections) -18.04 eV for the cell shown, DOS(E_F) 5.71 states/eV/cell. Number 3: total DFT energy (no corrections) -37.52 eV for the cell shown, DOS(E_F) 3.13 states/eV/cell.